No. 1
TlCoCl3 after structural relaxation. Source: Alexandria via LeMat-Bulk, functional PBE.

Properties
uncorrected formation energy = -71.5 kJ per mole of atoms
space group = P6_3/mmc (194)

POSCAR file:
```
TlCoCl3
1.0
7.0062 0.0000 0.0000
-3.5031 6.0675 0.0000
0.0000 0.0000 5.8574
Co Cl Tl
2 6 2
Direct
0.0000 0.0000 0.5000 Co
0.0000 0.0000 0.0000 Co
0.1591 0.8409 0.7500 Cl
0.3181 0.1591 0.2500 Cl
0.8409 0.6819 0.2500 Cl
0.6819 0.8409 0.7500 Cl
0.8409 0.1591 0.2500 Cl
0.1591 0.3181 0.7500 Cl
0.3333 0.6667 0.2500 Tl
0.6667 0.3333 0.7500 Tl
```

No. 2
Ho2Er3Tm3 after structural relaxation. Source: Alexandria via LeMat-Bulk, functional PBE.

Properties
energy of formation = 25 meV per atom
space group = Immm (71)
energy above the lowest structure with this stoichiometry = 0.0 meV per atom

POSCAR file:
```
Ho2Er3Tm3
1.0
-0.4177 -3.9120 2.9895
3.2427 2.0397 3.1221
-8.8309 5.3918 1.7382
Tm Er Ho
3 3 2
Direct
0.1247 0.1247 0.2493 Tm
0.8753 0.8753 0.7507 Tm
0.0000 0.5000 0.0000 Tm
0.5000 0.0000 0.0000 Er
0.3755 0.3754 0.7510 Er
0.6245 0.6246 0.2490 Er
0.2501 0.7501 0.5001 Ho
0.7499 0.2499 0.4999 Ho
```

No. 3
SrHgRh after structural relaxation. Source: Alexandria via LeMat-Bulk, functional PBE.

Properties
energy of formation = -259 meV per atom
space group = P-6m2 (187)

POSCAR file:
```
SrHgRh
1.0
-0.6090 1.6716 4.3119
0.0884 -4.6071 -0.7245
4.1074 -0.0132 0.5853
Hg Sr Rh
1 1 1
Direct
0.0000 0.0000 0.1665 Hg
0.6667 0.3333 0.6668 Sr
0.3333 0.6667 0.1666 Rh
```

No. 4
Mn2CoPt after structural relaxation. Source: Alexandria via LeMat-Bulk, functional PBE.

Properties
energy of formation = 69 meV per atom
space group = R3m (160)

POSCAR file:
```
Mn2CoPt
1.0
8.5517 -0.0088 -0.0051
8.1460 2.6027 -0.0051
8.1460 1.2654 2.2743
Mn Co Pt
2 1 1
Direct
0.0006 0.0006 0.0006 Mn
0.2550 0.2550 0.2550 Mn
0.7450 0.7450 0.7450 Co
0.4994 0.4994 0.4994 Pt
```

| no. | calculated total energy (eV/f.u.) |
| --- | --- |
| 1 | -18.7 |
| 2 | -36.1 |
| 3 | -10.1 |
| 4 | -31.2 |